1.
3
Lattice="2.636 -3.847 -0.351 -1.723 -3.837 -2.044 1.618 -1.353 -4.174" Properties=species:S:1:pos:R:3 comment="BaCoTc (PBE, relaxed)" sg="F-43m, No. 216" crystal_system=cubic volume_a3_per_cell=72 e_above_lowest_polymorph_kj_per_mol_atoms=73.1 pbc="T T T"
Co 0.633 -2.259 -1.642
Tc 1.898 -6.778 -4.926
Ba 0.000 0.000 0.000

***

2.
3
Lattice="0.000 3.294 3.294 3.294 0.000 3.294 3.294 3.294 0.000" Properties=species:S:1:pos:R:3 comment="BaCoTc (PBE, relaxed)" sg="F-43m, No. 216" crystal_system=cubic volume_a3_per_cell=72 e_above_lowest_polymorph_kj_per_mol_atoms=0.0 pbc="T T T"
Ba 1.647 1.647 1.647
Co 0.000 0.000 0.000
Tc 4.942 4.942 4.942

***

3.
12
Lattice="10.400 0.000 0.000 0.000 7.262 2.047 0.000 -7.262 2.047" Properties=species:S:1:pos:R:3 comment="BaCo2Te3 (PBE, relaxed)" sg="Cmcm, No. 63" crystal_system=orthorhombic energy_ev_per_cell=-55.81 volume_a3_per_cell=309 pbc="T T T"
Te 10.034 -1.688 2.047
Te 0.366 1.688 2.047
Te 5.566 -1.688 2.047
Te 4.834 1.688 2.047
Te 7.800 -6.415 2.047
Te 2.600 6.415 2.047
Co 2.600 0.554 2.047
Co 0.000 0.000 0.000
Co 7.800 -0.554 2.047
Co 5.200 0.000 0.000
Ba 2.600 -3.779 2.047
Ba 7.800 3.779 2.047

***

4.
12
Lattice="-1.521 -4.052 0.346 5.747 -4.418 0.761 -0.590 1.194 11.387" Properties=species:S:1:pos:R:3 comment="BaZnCoTe3 (PBE, relaxed)" sg="Cmcm, No. 63" crystal_system=orthorhombic volume_a3_per_cell=346 e_above_lowest_polymorph_kj_per_mol_atoms=0.0 pbc="T T T"
Ba 1.324 -4.365 9.184
Ba 2.312 -2.911 3.311
Zn -0.295 0.597 5.694
Zn 0.000 0.000 0.000
Te 2.988 -5.273 5.870
Te 3.221 -5.743 1.378
Te 4.720 -3.308 9.249
Te -1.083 -3.968 3.246
Te 0.416 -1.533 11.116
Te 0.648 -2.004 6.624
Co -0.588 -1.357 8.769
Co 4.224 -5.920 3.725